Record 1
A plane-wave DFT calculation with PBE was carried out for crystalline LaZn2SiF at its relaxed geometry.

Structure (CIF):
```
data_LaZn2SiF
_chemical_formula_sum 'La1 Zn2 Si1 F1'
_cell_length_a 6.2370
_cell_length_b 6.2370
_cell_length_c 5.3510
_cell_angle_alpha 90.00
_cell_angle_beta 90.00
_cell_angle_gamma 90.00
_symmetry_space_group_name_H-M 'P 4/m m m'
_symmetry_Int_Tables_number 123
_symmetry_space_group_name_Hall '-P 4 2'
loop_
_atom_site_label
_atom_site_type_symbol
_atom_site_fract_x
_atom_site_fract_y
_atom_site_fract_z
La1 La 0.0000 0.0000 0.0000
Zn1 Zn 0.0000 0.5000 0.0000
Si1 Si 0.0000 0.0000 0.5000
F1 F 0.5000 0.5000 0.5000
```

## Properties
- Crystal system: tetragonal

---

Record 2
A plane-wave DFT calculation with PBE was carried out for crystalline LaZnSi2F at its relaxed geometry.

Structure (CIF):
```
data_LaZnSi2F
_chemical_formula_sum 'La1 Zn1 Si2 F1'
_cell_length_a 4.6698
_cell_length_b 4.6698
_cell_length_c 4.7553
_cell_angle_alpha 90.00
_cell_angle_beta 90.00
_cell_angle_gamma 90.00
_symmetry_space_group_name_H-M 'P 4/m m m'
_symmetry_Int_Tables_number 123
_symmetry_space_group_name_Hall '-P 4 2'
loop_
_atom_site_label
_atom_site_type_symbol
_atom_site_fract_x
_atom_site_fract_y
_atom_site_fract_z
La1 La 0.0000 0.0000 0.0000
Zn1 Zn 0.5000 0.5000 0.0000
Si1 Si 0.0000 0.5000 0.5000
F1 F 0.0000 0.0000 0.5000
```

## Properties
- Crystal system: tetragonal

---

Record 3
A plane-wave DFT calculation with PBE was carried out for crystalline LaSmF at its relaxed geometry.

Structure (CIF):
```
data_LaSmF
_chemical_formula_sum 'La1 Sm1 F1'
_cell_length_a 3.9055
_cell_length_b 3.9055
_cell_length_c 5.8043
_cell_angle_alpha 90.00
_cell_angle_beta 90.00
_cell_angle_gamma 120.00
_symmetry_space_group_name_H-M 'P 3 m 1'
_symmetry_Int_Tables_number 156
loop_
_symmetry_equiv_pos_as_xyz
'x,y,z'
'-y,x-y,z'
'-x+y,-x,z'
'-y,-x,z'
'-x+y,y,z'
'x,x-y,z'
loop_
_atom_site_label
_atom_site_type_symbol
_atom_site_fract_x
_atom_site_fract_y
_atom_site_fract_z
La1 La 0.0000 0.0000 0.0000
Sm1 Sm 0.3333 0.6667 0.4860
F1 F 0.6667 0.3333 0.2517
```

## Properties
- Crystal system: trigonal

---

Record 4
A plane-wave DFT calculation with PBE was carried out for crystalline LaSm3F at its relaxed geometry.

Structure (CIF):
```
data_LaSm3F
_chemical_formula_sum 'La1 Sm3 F1'
_cell_length_a 5.1870
_cell_length_b 5.1870
_cell_length_c 5.1870
_cell_angle_alpha 90.00
_cell_angle_beta 90.00
_cell_angle_gamma 90.00
_symmetry_space_group_name_H-M 'P m -3 m'
_symmetry_Int_Tables_number 221
_symmetry_space_group_name_Hall '-P 4 2 3'
loop_
_atom_site_label
_atom_site_type_symbol
_atom_site_fract_x
_atom_site_fract_y
_atom_site_fract_z
La1 La 0.0000 0.0000 0.0000
Sm1 Sm 0.0000 0.5000 0.5000
F1 F 0.5000 0.5000 0.5000
```

## Properties
- Crystal system: cubic

---

Record 5
A plane-wave DFT calculation with PBE was carried out for crystalline La2SmF11 at its relaxed geometry.

Structure (CIF):
```
data_La2SmF11
_chemical_formula_sum 'La8 Sm4 F44'
_cell_length_a 8.8889
_cell_length_b 10.6497
_cell_length_c 11.6330
_cell_angle_alpha 90.00
_cell_angle_beta 90.00
_cell_angle_gamma 90.00
_symmetry_space_group_name_H-M 'I b a m'
_symmetry_Int_Tables_number 72
_symmetry_space_group_name_Hall '-I 2 2c'
loop_
_atom_site_label
_atom_site_type_symbol
_atom_site_fract_x
_atom_site_fract_y
_atom_site_fract_z
La1 La 0.1686 0.1919 0.0000
Sm1 Sm 0.0000 0.5000 0.2500
F1 F 0.0000 0.0000 0.0000
F2 F 0.0998 0.3311 0.1463
F3 F 0.1035 0.1845 0.5000
F4 F 0.1966 0.4278 0.3664
```

## Properties
- Crystal system: orthorhombic

---

Record 6
A plane-wave DFT calculation with PBE was carried out for crystalline La2SnF2 at its relaxed geometry.

Structure (CIF):
```
data_La2SnF2
_chemical_formula_sum 'La4 Sn2 F4'
_cell_length_a 4.0364
_cell_length_b 4.0364
_cell_length_c 13.8486
_cell_angle_alpha 90.00
_cell_angle_beta 90.00
_cell_angle_gamma 90.00
_symmetry_space_group_name_H-M 'I 4/m m m'
_symmetry_Int_Tables_number 139
_symmetry_space_group_name_Hall '-I 4 2'
loop_
_atom_site_label
_atom_site_type_symbol
_atom_site_fract_x
_atom_site_fract_y
_atom_site_fract_z
La1 La 0.0000 0.0000 0.1346
Sn1 Sn 0.0000 0.0000 0.5000
F1 F 0.0000 0.5000 0.2500
```

## Properties
- Relative energy among the computed polymorphs: 0 meV/atom
- Crystal system: tetragonal

---

Record 7
A plane-wave DFT calculation with PBE was carried out for crystalline LaSnF2 at its relaxed geometry.

Structure (CIF):
```
data_LaSnF2
_chemical_formula_sum 'La3 Sn3 F6'
_cell_length_a 4.0580
_cell_length_b 4.0580
_cell_length_c 19.7429
_cell_angle_alpha 90.00
_cell_angle_beta 90.00
_cell_angle_gamma 120.00
_symmetry_space_group_name_H-M 'R -3 m'
_symmetry_Int_Tables_number 166
_symmetry_space_group_name_Hall '-R 3 2"'
loop_
_atom_site_label
_atom_site_type_symbol
_atom_site_fract_x
_atom_site_fract_y
_atom_site_fract_z
La1 La 0.0000 0.0000 0.0000
Sn1 Sn 0.0000 0.0000 0.5000
F1 F 0.0000 0.0000 0.3045
```

## Properties
- Relative energy among the computed polymorphs: 0 meV/atom
- Crystal system: trigonal

---

Record 8
A plane-wave DFT calculation with PBE was carried out for crystalline LaSnF2 at its relaxed geometry.

Structure (CIF):
```
data_LaSnF2
_chemical_formula_sum 'La4 Sn4 F8'
_cell_length_a 5.5132
_cell_length_b 5.5132
_cell_length_c 14.2298
_cell_angle_alpha 90.00
_cell_angle_beta 90.00
_cell_angle_gamma 90.00
_symmetry_space_group_name_H-M 'I -4 2 d'
_symmetry_Int_Tables_number 122
_symmetry_space_group_name_Hall 'I -4 2bw'
loop_
_atom_site_label
_atom_site_type_symbol
_atom_site_fract_x
_atom_site_fract_y
_atom_site_fract_z
La1 La 0.0000 0.0000 0.0000
Sn1 Sn 0.0000 0.0000 0.5000
F1 F 0.0614 0.2500 0.1250
```

## Properties
- Relative energy among the computed polymorphs: 232 meV/atom
- Crystal system: tetragonal

---

no.,D(E_F) (states/eV/f.u.),raw formation energy (eV/f.u.)
1,5.9,3.21
2,3.2,-1.71
3,2.3,-4.69
4,4.3,-4.78
5,13.3,-48.21
6,2.6,-12.68
7,2.2,-10.14
8,2.7,-9.21